# 1
Cs3Rb9Cd2: optimized geometry, PBE-GGA.

The structure in extended XYZ format:
```
14
Lattice="-4.050 -5.615 0.387 5.012 -7.214 9.918 -9.873 3.401 8.153" Properties=species:S:1:pos:R:3 pbc="T T T"
Cd -6.615 -7.223 12.353
Rb -2.436 -6.412 5.727
Rb -0.188 -3.948 2.877
Rb -4.825 -8.260 16.042
Cs 0.244 -3.813 9.352
Rb -4.087 -1.167 2.415
Rb -6.476 -3.016 12.730
Cs 0.000 0.000 0.000
Cs -5.105 0.001 8.718
Cd -2.296 -2.205 6.105
Rb -6.135 -3.774 5.289
Rb -4.456 -4.714 9.229
Rb -8.723 -5.480 15.580
Rb -2.777 -5.654 13.169
```

Summary:
- DFT formation energy: 0.44 eV per formula unit



# 2
Cs7Rb3Cd: optimized geometry, PBE-GGA.

The structure in extended XYZ format:
```
11
Lattice="10.302 1.879 4.085 -0.539 10.459 4.085 -0.198 -0.251 9.904" Properties=species:S:1:pos:R:3 pbc="T T T"
Cs 1.235 1.561 2.899
Cs 1.817 6.803 4.789
Cd 9.256 11.697 17.500
Rb 4.468 5.646 10.064
Cs 6.772 8.558 5.981
Cs 7.575 9.573 10.523
Cs 6.203 3.332 4.789
Rb 0.571 8.151 10.129
Rb 7.801 2.430 10.129
Cs 3.534 0.590 8.530
Cs -0.238 3.575 8.530
```

Summary:
- DFT formation energy: 0.25 eV per formula unit



# 3
Cs5RbCd4: optimized geometry, PBE-GGA.

The structure in extended XYZ format:
```
10
Lattice="5.245 0.000 -1.095 -0.973 9.226 -4.661 0.155 -0.267 13.858" Properties=species:S:1:pos:R:3 pbc="T T T"
Cd 2.403 8.584 -1.601
Cs 3.825 6.526 5.213
Cd -0.458 7.823 -2.197
Cs 0.603 2.433 2.890
Cs 2.136 4.613 -2.878
Cs 4.106 1.798 6.559
Rb 2.623 0.000 -0.547
Cs 0.322 7.162 1.544
Cd 4.886 1.136 10.299
Cd 2.025 0.375 9.703
```

Summary:
- DFT formation energy: -0.35 eV per formula unit